## a
# RbAlTlCd, optimized geometry, DFT PBE
# Total magnetization (Bohr magnetons per cell): 0.0
data_RbAlTlCd
_space_group_name_H-M_alt 'P 1 m 1'
_space_group_IT_number 6
_cell_length_a 3.375
_cell_length_b 4.357
_cell_length_c 8.523
_cell_angle_alpha 90.00
_cell_angle_beta 99.65
_cell_angle_gamma 90.00
loop_
_space_group_symop_operation_xyz
'x,y,z'
'x,-y,z'
loop_
_atom_site_label
_atom_site_fract_x
_atom_site_fract_y
_atom_site_fract_z
Rb1 0.000 0.000 0.000
Al1 0.872 0.000 0.548
Tl1 0.636 0.500 0.315
Cd1 0.386 0.500 0.674



## b
# RbAlTlCd, optimized geometry, DFT PBE
# Total magnetization (Bohr magnetons per cell): 0.0
data_RbAlTlCd
_space_group_name_H-M_alt 'P 1'
_space_group_IT_number 1
_cell_length_a 3.371
_cell_length_b 4.691
_cell_length_c 8.386
_cell_angle_alpha 84.60
_cell_angle_beta 79.71
_cell_angle_gamma 78.31
loop_
_space_group_symop_operation_xyz
'x,y,z'
loop_
_atom_site_label
_atom_site_fract_x
_atom_site_fract_y
_atom_site_fract_z
Rb1 0.000 0.000 0.000
Al1 0.531 0.506 0.677
Tl1 0.366 0.461 0.329
Cd1 0.934 0.977 0.555



Short version: a is the most stable of them.



## a
# RbAlTlCd, optimized geometry, DFT PBE
# Total magnetization (Bohr magnetons per cell): 0.0
data_RbAlTlCd
_space_group_name_H-M_alt 'R 3 m'
_space_group_IT_number 160
_space_group_name_Hall 'R 3 -2"'
_cell_length_a 4.7851
_cell_length_b 4.7851
_cell_length_c 21.5128
_cell_angle_alpha 90.00
_cell_angle_beta 90.00
_cell_angle_gamma 120.00
loop_
_atom_site_label
_atom_site_fract_x
_atom_site_fract_y
_atom_site_fract_z
Rb1 0.0000 0.0000 0.0000
Al1 0.0000 0.0000 0.1708
Tl1 0.0000 0.0000 0.5475
Cd1 0.0000 0.0000 0.7960



## b
# RbAlTlCd, optimized geometry, DFT PBE
# Total magnetization (Bohr magnetons per cell): 0.0
data_RbAlTlCd
_space_group_name_H-M_alt 'C 1 m 1'
_space_group_IT_number 8
_cell_length_a 8.476
_cell_length_b 4.739
_cell_length_c 7.501
_cell_angle_alpha 90.00
_cell_angle_beta 111.86
_cell_angle_gamma 90.00
loop_
_space_group_symop_operation_xyz
'x,y,z'
'x,-y,z'
'x+1/2,y+1/2,z'
'x+1/2,-y+1/2,z'
loop_
_atom_site_label
_atom_site_fract_x
_atom_site_fract_y
_atom_site_fract_z
Rb1 0.000 0.000 0.000
Al1 0.302 0.500 0.426
Tl1 0.202 0.000 0.620
Cd1 0.457 0.000 0.381



Short version: b is the most stable of them.



## a
# RbAlTlCd, optimized geometry, DFT PBE
# Total magnetization (Bohr magnetons per cell): 0.0
data_RbAlTlCd
_space_group_name_H-M_alt 'P 1'
_space_group_IT_number 1
_cell_length_a 4.768
_cell_length_b 4.786
_cell_length_c 7.508
_cell_angle_alpha 108.43
_cell_angle_beta 90.16
_cell_angle_gamma 119.82
loop_
_space_group_symop_operation_xyz
'x,y,z'
loop_
_atom_site_label
_atom_site_fract_x
_atom_site_fract_y
_atom_site_fract_z
Rb1 0.000 0.000 0.000
Al1 0.524 0.046 0.570
Tl1 0.790 0.581 0.370
Cd1 0.206 0.412 0.618



## b
# RbAlTlCd, optimized geometry, DFT PBE
# Total magnetization (Bohr magnetons per cell): 0.0
data_RbAlTlCd
_space_group_name_H-M_alt 'P m m 2'
_space_group_IT_number 25
_cell_length_a 3.335
_cell_length_b 4.149
_cell_length_c 8.736
_cell_angle_alpha 90.00
_cell_angle_beta 90.00
_cell_angle_gamma 90.00
loop_
_space_group_symop_operation_xyz
'x,y,z'
'-x,-y,z'
'-x,y,z'
'x,-y,z'
loop_
_atom_site_label
_atom_site_fract_x
_atom_site_fract_y
_atom_site_fract_z
Rb1 0.000 0.000 0.000
Al1 0.000 0.000 0.524
Tl1 0.500 0.500 0.317
Cd1 0.500 0.500 0.688



## c
# RbAlTlCd, optimized geometry, DFT PBE
# Total magnetization (Bohr magnetons per cell): 0.0
data_RbAlTlCd
_space_group_name_H-M_alt 'P m m 2'
_space_group_IT_number 25
_cell_length_a 3.654
_cell_length_b 4.164
_cell_length_c 8.544
_cell_angle_alpha 90.00
_cell_angle_beta 90.00
_cell_angle_gamma 90.00
loop_
_space_group_symop_operation_xyz
'x,y,z'
'-x,-y,z'
'-x,y,z'
'x,-y,z'
loop_
_atom_site_label
_atom_site_fract_x
_atom_site_fract_y
_atom_site_fract_z
Rb1 0.000 0.000 0.000
Al1 0.500 0.500 0.319
Tl1 0.000 0.000 0.466
Cd1 0.500 0.500 0.684



Short version: a is the most stable of them.



## a
# AlCdRe, optimized geometry, DFT PBE
# Total magnetization (Bohr magnetons per cell): 0.0
data_AlCdRe
_space_group_name_H-M_alt 'F m m 2'
_space_group_IT_number 42
_space_group_name_Hall 'F 2 -2'
_cell_length_a 3.362
_cell_length_b 4.476
_cell_length_c 13.579
_cell_angle_alpha 90.00
_cell_angle_beta 90.00
_cell_angle_gamma 90.00
loop_
_atom_site_label
_atom_site_fract_x
_atom_site_fract_y
_atom_site_fract_z
Al1 0.000 0.000 0.000
Cd1 0.000 0.000 0.319
Re1 0.000 0.000 0.642



## b
# AlCdRe, optimized geometry, DFT PBE
# Total magnetization (Bohr magnetons per cell): 0.1
data_AlCdRe
_space_group_name_H-M_alt 'F -4 3 m'
_space_group_IT_number 216
_space_group_name_Hall 'F -4 2 3'
_cell_length_a 6.068
_cell_length_b 6.068
_cell_length_c 6.068
_cell_angle_alpha 90.00
_cell_angle_beta 90.00
_cell_angle_gamma 90.00
loop_
_atom_site_label
_atom_site_fract_x
_atom_site_fract_y
_atom_site_fract_z
Al1 0.000 0.000 0.000
Cd1 0.250 0.250 0.750
Re1 0.250 0.250 0.250



Short version: a is the most stable of them.



## a
# AlCdRe, optimized geometry, DFT PBE
# Total magnetization (Bohr magnetons per cell): 0.0
data_AlCdRe
_space_group_name_H-M_alt 'P 3 m 1'
_space_group_IT_number 156
_cell_length_a 2.8873
_cell_length_b 2.8873
_cell_length_c 7.0206
_cell_angle_alpha 90.00
_cell_angle_beta 90.00
_cell_angle_gamma 120.00
loop_
_space_group_symop_operation_xyz
'x,y,z'
'-y,x-y,z'
'-x+y,-x,z'
'-y,-x,z'
'-x+y,y,z'
'x,x-y,z'
loop_
_atom_site_label
_atom_site_fract_x
_atom_site_fract_y
_atom_site_fract_z
Al1 0.0000 0.0000 0.0000
Cd1 0.3333 0.6667 0.3567
Re1 0.6667 0.3333 0.7078



## b
# AlCdRe, optimized geometry, DFT PBE
# Total magnetization (Bohr magnetons per cell): 0.0
data_AlCdRe
_space_group_name_H-M_alt 'I 4 m m'
_space_group_IT_number 107
_space_group_name_Hall 'I 4 -2'
_cell_length_a 2.821
_cell_length_b 2.821
_cell_length_c 12.849
_cell_angle_alpha 90.00
_cell_angle_beta 90.00
_cell_angle_gamma 90.00
loop_
_atom_site_label
_atom_site_fract_x
_atom_site_fract_y
_atom_site_fract_z
Al1 0.000 0.000 0.000
Cd1 0.000 0.000 0.315
Re1 0.000 0.000 0.640



## c
# AlCdRe, optimized geometry, DFT PBE
# Total magnetization (Bohr magnetons per cell): 0.0
data_AlCdRe
_space_group_name_H-M_alt 'I m m 2'
_space_group_IT_number 44
_cell_length_a 2.748
_cell_length_b 4.013
_cell_length_c 9.422
_cell_angle_alpha 90.00
_cell_angle_beta 90.00
_cell_angle_gamma 90.00
loop_
_space_group_symop_operation_xyz
'x,y,z'
'-x,-y,z'
'-x,y,z'
'x,-y,z'
'x+1/2,y+1/2,z+1/2'
'-x+1/2,-y+1/2,z+1/2'
'-x+1/2,y+1/2,z+1/2'
'x+1/2,-y+1/2,z+1/2'
loop_
_atom_site_label
_atom_site_fract_x
_atom_site_fract_y
_atom_site_fract_z
Al1 0.000 0.000 0.000
Cd1 0.000 0.000 0.700
Re1 0.000 0.000 0.392



Short version: a is the most stable of them.



## a
# AlCdRh3, optimized geometry, DFT PBE
# Total magnetization (Bohr magnetons per cell): 1.3
data_AlCdRh3
_space_group_name_H-M_alt 'P m -3 m'
_space_group_IT_number 221
_space_group_name_Hall '-P 4 2 3'
_cell_length_a 4.485
_cell_length_b 4.485
_cell_length_c 4.485
_cell_angle_alpha 90.00
_cell_angle_beta 90.00
_cell_angle_gamma 90.00
loop_
_atom_site_label
_atom_site_fract_x
_atom_site_fract_y
_atom_site_fract_z
Al1 0.000 0.000 0.000
Cd1 0.500 0.500 0.500
Rh1 0.000 0.000 0.500



## b
# AlCdRh3, optimized geometry, DFT PBE
# Total magnetization (Bohr magnetons per cell): 2.0
data_AlCdRh3
_space_group_name_H-M_alt 'P m -3 m'
_space_group_IT_number 221
_space_group_name_Hall '-P 4 2 3'
_cell_length_a 4.829
_cell_length_b 4.829
_cell_length_c 4.829
_cell_angle_alpha 90.00
_cell_angle_beta 90.00
_cell_angle_gamma 90.00
loop_
_atom_site_label
_atom_site_fract_x
_atom_site_fract_y
_atom_site_fract_z
Al1 0.000 0.000 0.000
Cd1 0.500 0.500 0.500
Rh1 0.000 0.500 0.500



Short version: a is the most stable of them.



## a
# AlCd2S, optimized geometry, DFT PBE
# Total magnetization (Bohr magnetons per cell): 0.0
data_AlCd2S
_space_group_name_H-M_alt 'F m -3 m'
_space_group_IT_number 225
_space_group_name_Hall '-F 4 2 3'
_cell_length_a 7.038
_cell_length_b 7.038
_cell_length_c 7.038
_cell_angle_alpha 90.00
_cell_angle_beta 90.00
_cell_angle_gamma 90.00
loop_
_atom_site_label
_atom_site_fract_x
_atom_site_fract_y
_atom_site_fract_z
Al1 0.000 0.000 0.000
Cd1 0.250 0.250 0.250
S1 0.000 0.000 0.500



## b
# AlCd2S, optimized geometry, DFT PBE
# Total magnetization (Bohr magnetons per cell): 0.0
data_AlCd2S
_space_group_name_H-M_alt 'I -4 2 d'
_space_group_IT_number 122
_space_group_name_Hall 'I -4 2bw'
_cell_length_a 6.741
_cell_length_b 6.741
_cell_length_c 9.568
_cell_angle_alpha 90.00
_cell_angle_beta 90.00
_cell_angle_gamma 90.00
loop_
_atom_site_label
_atom_site_fract_x
_atom_site_fract_y
_atom_site_fract_z
Al1 0.000 0.000 0.000
Cd1 0.231 0.250 0.625
S1 0.000 0.000 0.500



Short version: b is the most stable of them.